Here is a relaxed BaAc4Rh2 crystal from Alexandria. Energies are from PBE.

Cell lengths 4.298, 6.517, 10.665 Å; angles 100.24, 101.62, 90.00 degrees
Positions (direct):
1 Ac 0.815 0.396 0.630
2 Ac 0.638 0.058 0.276
3 Ac 0.185 0.604 0.370
4 Ac 0.362 0.942 0.724
5 Ba 0.500 0.500 0.000
6 Rh 0.233 0.161 0.466
7 Rh 0.767 0.839 0.534

Summary:
As for the calculated volume: 287.7 Å³ per cell. As for the space group: C2/m, No. 12. As for the formation energy: -0.364 eV per atom. Its final energy is -5.09 eV/atom.